This record from the Alexandria database describes a relaxed structure of Ga2Cu3Au. The functional is PBE.

```
Ga2Cu3Au
1.0
8.541 0.000 0.000
0.000 2.771 0.000
0.000 0.000 15.403
Ga Cu Au
8 12 4
Cartesian
0.700 0.693 3.307 Ga
2.136 0.693 15.144 Ga
2.135 2.078 7.442 Ga
3.570 2.078 11.008 Ga
4.971 0.693 4.394 Ga
6.406 0.693 7.960 Ga
6.405 2.078 0.259 Ga
7.841 2.078 12.096 Ga
0.287 2.078 1.067 Cu
0.897 0.693 5.775 Cu
1.513 0.693 12.424 Cu
2.758 2.078 4.722 Cu
3.374 2.078 13.477 Cu
3.984 0.693 8.768 Cu
4.557 2.078 6.634 Cu
5.167 0.693 1.926 Cu
5.783 0.693 10.680 Cu
7.028 2.078 2.979 Cu
7.644 2.078 9.627 Cu
8.254 0.693 14.336 Cu
1.380 0.693 9.704 Au
2.891 2.078 2.003 Au
5.650 0.693 13.400 Au
7.161 2.078 5.699 Au
```

Calculated values
Total magnetization, μB/atom: 0.00
Volume, Å³/cell: 364.5
Symmetry: Pnma, No. 62
Energy relative to the elements, eV/atom: -0.013
Relative energy among the computed polymorphs, meV/atom: 0